<A>
DFT (GGA-PBEsol) results for a relaxed structure of Ba2YCl7. Values from VASP.

Structure (Quantum ESPRESSO input):
```
&SYSTEM
  ibrav = 0, nat = 40, ntyp = 3
/
ATOMIC_SPECIES
Ba 137.33 Ba.upf
Cl 35.45 Cl.upf
Y 88.91 Y.upf
CELL_PARAMETERS angstrom
8.6491 0.0000 0.3959
0.0000 10.6403 0.0000
-1.4741 0.0000 12.9987
ATOMIC_POSITIONS angstrom
Ba 0.2928 3.2351 10.0315
Ba 4.9543 3.2640 12.6423
Ba 2.2207 7.3762 0.7523
Ba 5.8083 8.5842 7.4496
Ba 6.8823 7.4051 3.3631
Ba 5.3544 2.0850 3.7301
Ba 1.3668 2.0561 5.9450
Ba 1.8207 8.5552 9.6645
Cl 0.8135 5.8581 2.9565
Cl -0.2058 7.1655 5.8220
Cl 0.8791 0.6185 8.5191
Cl 2.9894 4.0025 4.1901
Cl 3.7773 7.6136 3.3711
Cl 0.0176 10.0998 12.3157
Cl 0.7961 3.2130 0.0698
Cl 2.7740 0.5380 3.7408
Cl 1.2344 5.9386 11.1770
Cl 7.3648 8.3468 10.0684
Cl 4.4010 10.1023 9.6539
Cl 6.2960 10.0218 4.8756
Cl 6.5769 1.3176 10.8874
Cl 3.3978 3.0267 10.0235
Cl 3.7933 1.8454 0.8753
Cl 5.0792 5.8606 6.0143
Cl 4.1857 6.6377 9.2045
Cl 0.5982 9.3226 2.5072
Cl 4.3837 2.1071 6.7671
Cl 6.3616 4.7822 10.4381
Cl -0.1897 2.2935 3.3262
Cl 3.3817 8.7949 12.5193
Cl 2.0959 4.7797 7.3803
Cl 2.7914 8.5332 6.6275
Cl 7.1574 0.5405 1.0789
Cl 7.3809 3.4747 7.5726
Cl 5.9407 4.7016 2.2177
Cl 6.3789 7.4272 13.3248
Y 1.3026 1.0471 1.5429
Y 2.2849 6.3673 5.1545
Y 5.8725 9.5931 11.8518
Y 4.8901 4.2730 8.2402
```

Properties
As for the space-group type: P2_1/c, No. 14. The volume comes out at 30.062 A^3/atom.


<B>
DFT (GGA-PBEsol) results for a relaxed structure of Ba2YCl7. Values from VASP.

Structure (Quantum ESPRESSO input):
```
&SYSTEM
  ibrav = 0, nat = 40, ntyp = 3
/
ATOMIC_SPECIES
Ba 137.33 Ba.upf
Cl 35.45 Cl.upf
Y 88.91 Y.upf
CELL_PARAMETERS angstrom
6.9460 0.0000 0.0000
0.0000 10.1116 0.0000
0.0000 0.0000 16.6930
ATOMIC_POSITIONS angstrom
Ba 1.7365 3.5642 9.3813
Ba 5.2095 6.4103 12.1582
Ba 1.7365 3.7013 4.5348
Ba 1.7365 8.7571 3.8117
Ba 5.2095 1.4916 1.0348
Ba 5.2095 6.5474 7.3118
Ba 5.2095 1.3545 12.8814
Ba 1.7365 8.6200 15.6583
Cl 3.4381 6.0525 14.8735
Cl 3.5079 4.0591 1.8195
Cl 1.7365 5.6109 7.2064
Cl 0.0349 6.0525 14.8735
Cl 6.8133 1.1472 3.8541
Cl 3.4157 7.4303 9.8260
Cl 6.9111 4.0591 1.8195
Cl 3.6057 6.2030 4.4924
Cl 3.5303 2.6812 6.8670
Cl 3.4381 0.9967 10.1661
Cl 1.7365 0.5551 1.1402
Cl 5.2095 9.5565 15.5529
Cl 3.4157 2.3745 15.2136
Cl 6.8887 2.6812 6.8670
Cl 0.0573 2.3745 15.2136
Cl 3.5303 7.7370 1.4795
Cl 0.1327 8.9644 12.8389
Cl 6.8133 6.2030 4.4924
Cl 3.6057 1.1472 3.8541
Cl 5.2095 4.5007 9.4867
Cl 3.3403 8.9644 12.8389
Cl 6.9111 9.1149 6.5270
Cl 0.1327 3.9086 12.2007
Cl 3.5079 9.1149 6.5270
Cl 0.0573 7.4303 9.8260
Cl 3.3403 3.9086 12.2007
Cl 0.0349 0.9967 10.1661
Cl 6.8887 7.7370 1.4795
Y 1.7365 9.2156 10.7326
Y 5.2095 0.8960 5.9604
Y 1.7365 4.1598 14.3069
Y 5.2095 5.9518 2.3861
```

Properties
As for the space-group type: Pnma, No. 62. The volume comes out at 29.311 A^3/atom.


Relative energy of each structure, in eV/atom: <A> 0.015; <B> 0.000.